Compound: NaNd2Te4Pb
Source: the Alexandria database
Functional: PBE
Structure: relaxed

Summary:
The calculation puts the electronic total energy at -35.82 eV for the cell shown. The formation energy from raw total energies is -1.09 eV per atom.

Structure (CIF):
```
data_NaNd2Te4Pb
_space_group_name_H-M_alt 'P 1'
_space_group_IT_number 1
_space_group_name_Hall 'P 1'
_cell_length_a 4.499
_cell_length_b 7.779
_cell_length_c 8.102
_cell_angle_alpha 108.55
_cell_angle_beta 90.00
_cell_angle_gamma 90.00
loop_
_atom_site_label
_atom_site_type_symbol
_atom_site_fract_x
_atom_site_fract_y
_atom_site_fract_z
Na1 Na 0.500 0.500 0.000
Nd1 Nd 0.500 0.000 0.500
Nd2 Nd 0.000 0.500 0.500
Te1 Te 0.500 0.253 0.253
Te2 Te 0.500 0.747 0.747
Te3 Te 0.000 0.249 0.745
Te4 Te 0.000 0.751 0.255
Pb1 Pb 0.000 0.000 0.000
```